# 1
LaDy3Rh4 (PBE, relaxed); calculated volume = 167 Å³ per cell; DFT formation energy = -0.806 eV/atom; E_tot = -54.59 eV per cell; symmetry = R-3m, No. 166; total moment = 0.000 μB per cell
1.0
4.696 0.000 1.386
2.143 4.178 1.386
0.035 0.021 8.529
Dy Rh La
3 4 1
direct
0.248 0.248 0.257
0.752 0.752 0.743
0.500 0.500 0.500
0.873 0.873 0.381
0.378 0.378 0.867
0.127 0.127 0.619
0.622 0.622 0.133
0.000 0.000 0.000

=====

# 2
La3DyRh (PBE, relaxed); calculated volume = 179 Å³ per cell; DFT formation energy = -0.171 eV/atom; E_tot = -27.59 eV per cell; symmetry = Pm-3m, No. 221; total moment = 0.022 μB per cell
1.0
5.633 0.000 0.000
0.000 5.633 0.000
0.000 0.000 5.633
La Rh Dy
3 1 1
direct
0.000 0.500 0.000
0.000 0.000 0.500
0.500 0.000 0.000
0.000 0.000 0.000
0.500 0.500 0.500

=====

# 3
LaDyRh (PBE, relaxed); calculated volume = 81 Å³ per cell; DFT formation energy = -0.498 eV/atom; E_tot = -18.38 eV per cell; energy above the most stable polymorph in this dataset = 99.4 meV/atom; symmetry = I4mm, No. 107; total moment = 0.000 μB per cell
1.0
3.531 0.000 0.000
0.000 3.531 0.000
-1.766 -1.766 6.514
Dy Rh La
1 1 1
direct
0.291 0.291 0.582
0.675 0.675 0.350
0.034 0.034 0.069

=====

# 4
La2DyRh9 (PBE, relaxed); calculated volume = 218 Å³ per cell; DFT formation energy = -0.521 eV/atom; E_tot = -86.88 eV per cell; symmetry = R-3m, No. 166; total moment = 0.000 μB per cell
1.0
-4.099 1.034 -3.193
-0.776 -2.928 -4.346
-6.735 -6.292 2.213
La Dy Rh
2 1 9
direct
0.862 0.862 0.415
0.138 0.138 0.585
0.000 0.000 0.000
0.667 0.667 0.998
0.333 0.333 0.002
0.500 0.500 0.500
0.420 0.420 0.241
0.919 0.420 0.241
0.420 0.919 0.241
0.580 0.580 0.759
0.580 0.081 0.759
0.081 0.580 0.759

=====

# 5
LaDy3Rh8 (PBE, relaxed); calculated volume = 219 Å³ per cell; DFT formation energy = -0.691 eV/atom; E_tot = -85.84 eV per cell; symmetry = P3m1, No. 156; total moment = 0.000 μB per cell
1.0
5.361 0.000 0.000
-2.680 4.643 0.000
0.000 0.000 8.793
La Dy Rh
1 3 8
direct
0.000 0.000 0.569
0.667 0.333 0.431
0.667 0.333 0.066
0.000 0.000 0.934
0.333 0.667 0.499
0.333 0.667 0.000
0.502 0.004 0.754
0.502 0.498 0.754
0.996 0.498 0.754
0.165 0.330 0.247
0.165 0.835 0.247
0.670 0.835 0.247

=====

# 6
LaDyRh (PBE, relaxed); calculated volume = 93 Å³ per cell; DFT formation energy = -0.523 eV/atom; E_tot = -18.45 eV per cell; energy above the most stable polymorph in this dataset = 74.7 meV/atom; symmetry = P3m1, No. 156; total moment = 0.002 μB per cell
1.0
6.367 0.000 0.000
0.000 4.107 0.000
0.000 -2.053 3.557
La Rh Dy
1 1 1
direct
0.761 0.667 0.333
0.006 0.000 0.000
0.234 0.333 0.667

=====

The lowest calculated volume belongs to which entry?
number 3

=====

Look up the E_tot of the first one.
-54.59 eV per cell